LaCd: single point on PBEsol structure, meta-GGA SCAN.

Total DFT energy (no corrections) in eV/cell: -148.53
E_form in eV/atom: -0.3734

Cell lengths 3.594, 4.941, 6.599 Å; angles 90.00, 105.80, 90.00 degrees
Sites, in units of the cell vectors:
La (0.837, 0.750, 0.675)
La (0.163, 0.250, 0.325)
Cd (0.565, 0.750, 0.131)
Cd (0.435, 0.250, 0.869)

La3Cd: single point on PBEsol structure, meta-GGA SCAN.

Total DFT energy (no corrections) in eV/cell: -160.50
E_form in eV/atom: -0.1937

Cell lengths 4.956, 4.956, 4.956 Å; angles 90.00, 90.00, 90.00 degrees
Sites, in units of the cell vectors:
La (0.000, 0.500, 0.500)
La (0.500, 0.000, 0.500)
La (0.500, 0.500, 0.000)
Cd (0.000, 0.000, 0.000)

Look up the total DFT energy (no corrections) of the first one.
-148.53 eV/cell

Look up the E_form of the second one.
-0.1937 eV/atom

Look up the E_form of the second one.
-0.1937 eV/atom